[1]
# Tl2HgSI, relaxed, DFT PBE
# Uncorrected formation energy, kJ/mol of formula units: -128
# Total magnetic moment, Bohr magnetons per cell: 0.0
data_Tl2HgSI
_cell_length_a 6.200
_cell_length_b 6.200
_cell_length_c 5.034
_cell_angle_alpha 90.00
_cell_angle_beta 90.00
_cell_angle_gamma 90.00
_space_group_name_H-M_alt 'P 4/m m m'
_space_group_IT_number 123
_space_group_name_Hall '-P 4 2'
loop_
_atom_site_label
_atom_site_fract_x
_atom_site_fract_y
_atom_site_fract_z
Tl1 0.000 0.500 0.000
Hg1 0.000 0.000 0.500
S1 0.000 0.000 0.000
I1 0.500 0.500 0.500

=====

[2]
# TlHg2SI, relaxed, DFT PBE
# Uncorrected formation energy, kJ/mol of formula units: -93
# Total magnetic moment, Bohr magnetons per cell: 0.0
data_TlHg2SI
_cell_length_a 5.240
_cell_length_b 5.240
_cell_length_c 6.506
_cell_angle_alpha 90.00
_cell_angle_beta 90.00
_cell_angle_gamma 90.00
_space_group_name_H-M_alt 'P 4/m m m'
_space_group_IT_number 123
_space_group_name_Hall '-P 4 2'
loop_
_atom_site_label
_atom_site_fract_x
_atom_site_fract_y
_atom_site_fract_z
Tl1 0.000 0.000 0.000
Hg1 0.000 0.500 0.500
S1 0.000 0.000 0.500
I1 0.500 0.500 0.000

=====

[3]
# Zn2Hg3S4I2, relaxed, DFT PBE
# Uncorrected formation energy, kJ/mol of formula units: -163
# Total magnetic moment, Bohr magnetons per cell: 0.0
data_Zn2Hg3S4I2
_cell_length_a 12.061
_cell_length_b 13.520
_cell_length_c 10.278
_cell_angle_alpha 90.00
_cell_angle_beta 90.00
_cell_angle_gamma 90.00
_space_group_name_H-M_alt 'C 2 2 21'
_space_group_IT_number 20
loop_
_space_group_symop_operation_xyz
'x,y,z'
'-x,-y,z+1/2'
'x,-y,-z'
'-x,y,-z+1/2'
'x+1/2,y+1/2,z'
'-x+1/2,-y+1/2,z+1/2'
'x+1/2,-y+1/2,-z'
'-x+1/2,y+1/2,-z+1/2'
loop_
_atom_site_label
_atom_site_fract_x
_atom_site_fract_y
_atom_site_fract_z
Zn1 0.000 0.247 0.250
Zn2 0.002 0.000 0.500
Hg1 0.078 0.500 0.000
Hg2 0.226 0.446 0.804
S1 0.052 0.405 0.332
S2 0.068 0.070 0.687
I1 0.136 0.163 0.087

=====

[4]
# Hg2Sb2I, relaxed, DFT PBE
# Uncorrected formation energy, kJ/mol of formula units: 48
# Total magnetic moment, Bohr magnetons per cell: 0.0
# Offset from the most stable computed form, kJ/mol of formula units: 57
data_Hg2Sb2I
_cell_length_a 5.555
_cell_length_b 5.555
_cell_length_c 10.250
_cell_angle_alpha 90.00
_cell_angle_beta 90.00
_cell_angle_gamma 90.00
_space_group_name_H-M_alt 'I 4/m m m'
_space_group_IT_number 139
_space_group_name_Hall '-I 4 2'
loop_
_atom_site_label
_atom_site_fract_x
_atom_site_fract_y
_atom_site_fract_z
Hg1 0.000 0.500 0.250
Sb1 0.000 0.000 0.140
I1 0.000 0.000 0.500

=====

[5]
# Hg4Sb2I3, relaxed, DFT PBE
# Uncorrected formation energy, kJ/mol of formula units: -82
# Total magnetic moment, Bohr magnetons per cell: 0.0
# Offset from the most stable computed form, kJ/mol of formula units: 71
data_Hg4Sb2I3
_cell_length_a 12.032
_cell_length_b 13.086
_cell_length_c 8.662
_cell_angle_alpha 90.00
_cell_angle_beta 105.83
_cell_angle_gamma 90.00
_space_group_name_H-M_alt 'C 1 2/c 1'
_space_group_IT_number 15
loop_
_space_group_symop_operation_xyz
'x,y,z'
'-x,-y,-z'
'-x,y,-z+1/2'
'x,-y,z+1/2'
'x+1/2,y+1/2,z'
'-x+1/2,-y+1/2,-z'
'-x+1/2,y+1/2,-z+1/2'
'x+1/2,-y+1/2,z+1/2'
loop_
_atom_site_label
_atom_site_fract_x
_atom_site_fract_y
_atom_site_fract_z
Hg1 0.100 0.185 0.057
Hg2 0.187 0.485 0.570
Sb1 0.170 0.364 0.832
I1 0.000 0.352 0.250
I2 0.130 0.137 0.611

=====

[6]
# Hg7SbI4, relaxed, DFT PBE
# Uncorrected formation energy, kJ/mol of formula units: -136
# Total magnetic moment, Bohr magnetons per cell: 0.0
data_Hg7SbI4
_cell_length_a 12.799
_cell_length_b 5.904
_cell_length_c 13.338
_cell_angle_alpha 90.00
_cell_angle_beta 98.32
_cell_angle_gamma 90.00
_space_group_name_H-M_alt 'C 1 2/m 1'
_space_group_IT_number 12
loop_
_space_group_symop_operation_xyz
'x,y,z'
'-x,-y,-z'
'-x,y,-z'
'x,-y,z'
'x+1/2,y+1/2,z'
'-x+1/2,-y+1/2,-z'
'-x+1/2,y+1/2,-z'
'x+1/2,-y+1/2,z'
loop_
_atom_site_label
_atom_site_fract_x
_atom_site_fract_y
_atom_site_fract_z
Hg1 0.000 0.000 0.000
Hg2 0.085 0.500 0.574
Hg3 0.138 0.500 0.845
Hg4 0.216 0.000 0.313
Sb1 0.000 0.500 0.000
I1 0.005 0.000 0.689
I2 0.194 0.500 0.161

=====

[7]
# Hg4Sb2I3, relaxed, DFT PBE
# Uncorrected formation energy, kJ/mol of formula units: -89
# Total magnetic moment, Bohr magnetons per cell: 0.0
# Offset from the most stable computed form, kJ/mol of formula units: 64
data_Hg4Sb2I3
_cell_length_a 14.756
_cell_length_b 13.349
_cell_length_c 7.766
_cell_angle_alpha 90.00
_cell_angle_beta 105.41
_cell_angle_gamma 90.00
_space_group_name_H-M_alt 'C 1 2/c 1'
_space_group_IT_number 15
loop_
_space_group_symop_operation_xyz
'x,y,z'
'-x,-y,-z'
'-x,y,-z+1/2'
'x,-y,z+1/2'
'x+1/2,y+1/2,z'
'-x+1/2,-y+1/2,-z'
'-x+1/2,y+1/2,-z+1/2'
'x+1/2,-y+1/2,z+1/2'
loop_
_atom_site_label
_atom_site_fract_x
_atom_site_fract_y
_atom_site_fract_z
Hg1 0.098 0.117 0.043
Hg2 0.172 0.492 0.605
Sb1 0.215 0.352 0.894
I1 0.000 0.420 0.250
I2 0.094 0.136 0.538

=====

[8]
# Hg4SbI, relaxed, DFT PBE
# Uncorrected formation energy, kJ/mol of formula units: -13
# Total magnetic moment, Bohr magnetons per cell: 0.0
# Offset from the most stable computed form, kJ/mol of formula units: 0
data_Hg4SbI
_cell_length_a 14.984
_cell_length_b 8.238
_cell_length_c 7.767
_cell_angle_alpha 90.00
_cell_angle_beta 115.95
_cell_angle_gamma 90.00
_space_group_name_H-M_alt 'C 1 2/c 1'
_space_group_IT_number 15
loop_
_space_group_symop_operation_xyz
'x,y,z'
'-x,-y,-z'
'-x,y,-z+1/2'
'x,-y,z+1/2'
'x+1/2,y+1/2,z'
'-x+1/2,-y+1/2,-z'
'-x+1/2,y+1/2,-z+1/2'
'x+1/2,-y+1/2,z+1/2'
loop_
_atom_site_label
_atom_site_fract_x
_atom_site_fract_y
_atom_site_fract_z
Hg1 0.066 0.105 0.470
Hg2 0.192 0.470 0.167
Sb1 0.250 0.250 0.500
I1 0.000 0.365 0.750